Record 1
DFT (PBE-GGA) results for a relaxed Ba3Sn3Pt crystal.

Output
For the volume, the calculation gives 244.7 Å³/f.u. The calculation puts the raw total energy at -4.1107 eV per atom. The value obtained for the mass density is 6.54 g/cm3. Its energy of formation is -0.7082 eV per atom.

a = 6.8064 Å, b = 6.8064 Å, c = 16.5397 Å
α = 108.14°, β = 108.14°, γ = 42.66°
Sites, in units of the cell vectors:
Ba1 0.0178 0.0178 0.3880
Ba2 0.1029 0.1029 0.9189
Ba3 0.2435 0.2435 0.2356
Ba4 0.7565 0.7565 0.7644
Ba5 0.8971 0.8971 0.0811
Ba6 0.9822 0.9822 0.6120
Sn1 0.3184 0.3184 0.4597
Sn2 0.3956 0.3956 0.9224
Sn3 0.4547 0.4547 0.7590
Sn4 0.5453 0.5453 0.2410
Sn5 0.6044 0.6044 0.0776
Sn6 0.6816 0.6816 0.5403
Pt1 0.2673 0.2673 0.6103
Pt2 0.7327 0.7327 0.3897


Record 2
DFT (PBE-GGA) results for a relaxed Rb8TlAu2 crystal.

Output
For the volume, the calculation gives 609.4 Å³/f.u. The calculation puts the raw total energy at -1.6217 eV per atom. The value obtained for the mass density is 3.49 g/cm3. Its energy of formation is -0.1070 eV per atom.

a = 9.8201 Å, b = 9.8201 Å, c = 6.9504 Å
α = 97.20°, β = 97.20°, γ = 111.17°
Sites, in units of the cell vectors:
Rb1 0.0578 0.3247 0.5866
Rb2 0.2451 0.7549 0.0000
Rb3 0.3247 0.0578 0.5866
Rb4 0.3701 0.3701 0.2025
Rb5 0.6299 0.6299 0.7975
Rb6 0.6753 0.9422 0.4134
Rb7 0.7549 0.2451 0.0000
Rb8 0.9422 0.6753 0.4134
Tl1 0.0000 0.0000 0.0000
Au1 0.3186 0.6814 0.5000
Au2 0.6814 0.3186 0.5000


Record 3
DFT (PBE-GGA) results for a relaxed KTbAgCl6 crystal.

Output
For the volume, the calculation gives 289.3 Å³/f.u. The calculation puts the raw total energy at -3.7498 eV per atom. The value obtained for the mass density is 2.98 g/cm3. The energy relative to the elements, uncorrected is -14.1 eV/f.u.

a = 6.7649 Å, b = 6.7708 Å, c = 7.0215 Å
α = 92.02°, β = 92.12°, γ = 115.62°
Sites, in units of the cell vectors:
K1 0.0000 0.0000 0.0000
Tb1 0.3306 0.6698 0.5005
Ag1 0.6761 0.3238 0.5004
Cl1 0.0124 0.3557 0.6906
Cl2 0.0252 0.6340 0.2518
Cl3 0.3676 0.9739 0.7504
Cl4 0.3923 0.3597 0.2842
Cl5 0.6402 0.6066 0.7171
Cl6 0.6443 0.9882 0.3103